Here is HoMnAg2F6 after structural relaxation from the Alexandria database. Energies are from PBE+U.

Cell and atoms, written as POSCAR:
```
HoMnAg2F6
1.0
6.064 0.005 -0.007
-3.027 5.250 0.007
-3.036 -1.750 4.963
F Mn Ho Ag
6 1 1 2
direct
0.060 0.250 0.729 F
0.500 0.187 0.234 F
0.936 0.685 0.730 F
0.933 0.746 0.232 F
0.493 0.808 0.726 F
0.057 0.311 0.231 F
0.997 0.498 0.480 Mn
0.997 0.998 0.980 Ho
0.496 0.747 0.230 Ag
0.497 0.248 0.729 Ag
```

Calculated values
**Total energy**: -5.311 eV/atom